13
Lattice="6.614 0.000 0.000 -3.307 5.728 0.000 0.000 0.000 11.235" Properties=species:S:1:pos:R:3 comment="Tb6DyTm6 | the Alexandria database | GGA-PBE | relaxed" space_group="No. 191" final_energy_ev_per_cell=-55.59 pbc="T T T"
Tb 0.000 0.000 1.760
Tb 0.000 0.000 9.475
Tb 0.000 3.819 0.000
Tb 0.000 3.819 5.617
Tb 3.307 1.909 0.000
Tb 3.307 1.909 5.617
Dy 0.000 0.000 5.617
Tm -1.654 2.864 2.884
Tm -1.654 2.864 8.351
Tm 3.307 0.000 2.884
Tm 3.307 0.000 8.351
Tm 1.654 2.864 2.884
Tm 1.654 2.864 8.351

---

4
Lattice="4.201 0.000 0.000 0.000 2.305 5.872 0.000 -2.305 5.872" Properties=species:S:1:pos:R:3 comment="AcSmAlGe | the Alexandria database | GGA-PBE | relaxed" space_group="No. 38" final_energy_ev_per_cell=-19.54 pbc="T T T"
Ac 0.000 0.000 0.000
Sm 2.100 0.000 8.446
Al 0.000 0.000 3.318
Ge 2.100 0.000 4.933

---

4
Lattice="-1.565 1.931 3.868 1.565 -1.931 3.868 1.565 1.931 -3.868" Properties=species:S:1:pos:R:3 comment="BeZn2Ni | the Alexandria database | GGA-PBE | relaxed" space_group="No. 44" final_energy_ev_per_cell=-12.55 pbc="T T T"
Be 0.000 0.000 0.000
Zn 0.000 0.000 3.696
Zn 0.000 1.931 1.917
Ni 1.565 0.000 1.646

---

4
Lattice="4.298 0.000 0.000 0.000 2.389 6.104 0.000 -2.389 6.104" Properties=species:S:1:pos:R:3 comment="Sr2TaSi | the Alexandria database | GGA-PBE | relaxed" e_form_raw_ev_per_atom=0.312 space_group="No. 38" final_energy_ev_per_cell=-19.39 pbc="T T T"
Sr 0.000 0.000 0.000
Sr 2.149 0.000 3.535
Ta 0.000 0.000 8.464
Si 2.149 0.000 7.147

---

11
Lattice="-2.524 3.585 7.604 2.524 -3.585 7.604 2.524 3.585 -7.604" Properties=species:S:1:pos:R:3 comment="Dy6Au5 | the Alexandria database | GGA-PBE | relaxed" space_group="No. 71" final_energy_ev_per_cell=-52.26 pbc="T T T"
Dy 2.524 1.792 -2.514
Dy 0.000 1.784 0.000
Dy 2.524 1.792 2.514
Dy 0.000 1.792 5.089
Dy 0.000 5.386 0.000
Dy 0.000 1.792 10.118
Au 2.524 0.000 0.000
Au 0.000 0.000 2.593
Au 2.524 0.000 5.193
Au 0.000 3.585 2.411
Au 0.000 0.000 12.614

---

16
Lattice="-5.574 5.574 2.737 5.574 -5.574 2.737 5.574 5.574 -2.737" Properties=species:S:1:pos:R:3 comment="Zr3Ge | the Alexandria database | GGA-PBE | relaxed" space_group="No. 82" final_energy_ev_per_cell=-129.60 pbc="T T T"
Zr 4.369 0.900 -0.107
Zr 5.260 4.031 -1.483
Zr 7.598 2.413 -0.012
Zr 2.413 3.550 0.012
Zr 0.314 1.543 1.254
Zr 4.674 -1.205 2.845
Zr 0.900 6.779 0.107
Zr 3.161 2.024 2.750
Zr 1.543 -0.314 4.221
Zr -2.024 3.161 2.725
Zr 4.031 5.889 1.483
Zr 1.205 4.674 2.630
Ge 2.305 -0.442 1.528
Ge 3.269 6.016 -1.210
Ge 5.132 3.269 1.210
Ge 0.442 2.305 3.947

---

8
Lattice="-2.213 2.213 4.278 2.213 -2.213 4.278 2.213 2.213 -4.278" Properties=species:S:1:pos:R:3 comment="NbPH2 | the Alexandria database | GGA-PBE | relaxed" space_group="No. 122" final_energy_ev_per_cell=-40.87 pbc="T T T"
Nb 0.000 0.000 0.000
Nb 0.000 2.213 2.139
P 2.213 0.000 2.139
P 0.000 0.000 4.278
H 3.319 0.971 -1.070
H 0.971 1.106 1.070
H -1.106 1.241 3.209
H 1.241 1.106 5.348

---

3
Lattice="6.095 0.000 0.000 -3.048 5.278 0.000 0.000 0.000 3.671" Properties=species:S:1:pos:R:3 comment="KNaMg | the Alexandria database | GGA-PBE | relaxed" space_group="No. 156" final_energy_ev_per_cell=-3.51 pbc="T T T"
K 0.000 0.000 0.000
Na 0.000 3.519 1.406
Mg 3.048 1.759 2.070

---

4
Lattice="2.890 0.000 0.000 0.000 4.131 0.000 -1.240 0.000 5.601" Properties=species:S:1:pos:R:3 comment="MgTa2Mn | the Alexandria database | GGA-PBE | relaxed" space_group="No. 10" final_energy_ev_per_cell=-33.39 pbc="T T T"
Mg 0.000 0.000 0.000
Ta 0.368 2.066 4.050
Ta 1.282 2.066 1.551
Mn -0.620 0.000 2.801

---

10
Lattice="4.157 0.000 0.000 0.000 4.157 0.000 0.000 0.000 10.806" Properties=species:S:1:pos:R:3 comment="Ca2FeGe3Pt4 | the Alexandria database | GGA-PBE | relaxed" space_group="No. 115" final_energy_ev_per_cell=-57.50 pbc="T T T"
Ca 0.000 2.079 2.664
Ca 2.079 0.000 8.142
Fe 2.079 2.079 0.000
Ge 0.000 0.000 0.000
Ge 0.000 2.079 6.899
Ge 2.079 0.000 3.906
Pt 0.000 0.000 5.403
Pt 0.000 2.079 9.346
Pt 2.079 0.000 1.460
Pt 2.079 2.079 5.403

---

6
Lattice="4.019 0.000 0.000 0.000 4.019 0.000 0.000 0.000 13.518" Properties=species:S:1:pos:R:3 comment="Ac3PrCd2 | the Alexandria database | GGA-PBE | relaxed" space_group="No. 123" final_energy_ev_per_cell=-20.05 pbc="T T T"
Ac 0.000 0.000 0.000
Ac 0.000 0.000 4.142
Ac 0.000 0.000 9.375
Pr 2.009 2.009 6.759
Cd 2.009 2.009 2.106
Cd 2.009 2.009 11.411

---

4
Lattice="-1.547 2.150 4.466 1.547 -2.150 4.466 1.547 2.150 -4.466" Properties=species:S:1:pos:R:3 comment="ReSiW2 | the Alexandria database | GGA-PBE | relaxed" e_form_raw_ev_per_atom=0.017 space_group="No. 44" final_energy_ev_per_cell=-43.71 pbc="T T T"
Re 0.000 0.000 0.000
Si 0.000 2.150 2.363
W 1.547 0.000 2.289
W 0.000 0.000 4.619

---

| no. | calculated volume (Å³/f.u.) |
| --- | --- |
| 1 | 425.72 |
| 2 | 113.71 |
| 3 | 46.73 |
| 4 | 125.34 |
| 5 | 275.19 |
| 6 | 85.05 |
| 7 | 41.90 |
| 8 | 118.09 |
| 9 | 66.87 |
| 10 | 186.74 |
| 11 | 218.31 |
| 12 | 59.41 |